## RbCo2WF8 (PBE with a Hubbard U)

Data for a geometry-optimized RbCo2WF8 structure.

Lattice parameters (Å, degrees): 5.4332 5.4332 24.2551 90.00 90.00 120.00
Last column: nearest neighbours and their distance in Å.
Space group R-3 (No. 148, hexagonal axes)
Inequivalent atoms, fractional coordinates:
Rb: 0.0000 0.0000 0.0000 x3  12 F 3.15-3.37
Co: 0.0000 0.0000 0.2464 x6  4 F 1.86-1.97
W: 0.0000 0.0000 0.5000 x3  6 F 2.12
F: 0.0000 0.0000 0.3230 x6  1 Co 1.86
F: 0.0041 0.3189 0.4488 x18  1 Co 1.97, 1 W 2.12

Results
The value obtained for the total magnetization is 26.95 Bohr magnetons per cell. The calculation puts the raw total energy at -183.33 eV for the cell shown. The calculation puts the density of states at the Fermi level at 0.00 states/eV/f.u.